# 1
## LaPbAu (PBE-GGA)

Data for an optimized crystal structure of LaPbAu.

The structure in extended XYZ format:
```
3
Lattice="-4.233 3.708 0.090 -2.474 0.747 5.000 5.130 0.177 -2.309" Properties=species:S:1:pos:R:3 pbc="T T T"
Pb -4.496 2.986 3.412
Au -6.666 4.427 5.058
La -2.252 1.496 1.709
```

Output
- ΔH_f (0 K) (eV per atom) = -0.436

***

# 2
## CdNCl2 (PBE-GGA)

Data for an optimized crystal structure of CdNCl2.

The structure in extended XYZ format:
```
8
Lattice="6.451 0.000 0.000 0.000 6.451 0.000 3.225 3.225 4.573" Properties=species:S:1:pos:R:3 pbc="T T T"
N 3.225 3.225 0.000
Cl 8.064 6.451 3.430
N 3.225 6.451 2.286
Cd 0.000 0.000 0.000
Cd 6.451 3.225 2.286
Cl 4.838 6.451 3.430
Cl 3.225 1.613 1.143
Cl 3.225 4.838 1.143
```

Output
- formation energy (no corrections) (eV per atom) = 0.822
- energy relative to the lowest polymorph listed for this composition (eV per atom) = 0.343

***

# 3
## CdRuO4 (PBE-GGA)

Data for an optimized crystal structure of CdRuO4.

The structure in extended XYZ format:
```
6
Lattice="3.590 0.000 -1.180 -0.388 3.569 -1.180 0.213 0.237 6.700" Properties=species:S:1:pos:R:3 pbc="T T T"
O 2.535 2.825 1.663
Ru 2.702 1.011 2.171
O 2.125 0.368 0.414
Cd 3.590 0.000 -1.180
O 3.279 1.654 3.927
O 0.880 0.981 2.678
```

Output
- formation energy (no corrections) (eV per atom) = -0.764
- energy relative to the lowest polymorph listed for this composition (eV per atom) = 0.036

***

# 4
## Nb2Ge6Mo (PBE-GGA)

Data for an optimized crystal structure of Nb2Ge6Mo.

The structure in extended XYZ format:
```
9
Lattice="-0.959 -2.163 -4.349 -2.301 -1.593 4.117 -5.030 4.434 -1.096" Properties=species:S:1:pos:R:3 pbc="T T T"
Ge -0.922 -0.886 0.644
Ge -5.940 0.182 -0.204
Nb -3.315 -0.392 -0.483
Ge -3.750 -0.230 2.364
Ge -4.055 2.000 -1.496
Ge -2.834 -0.595 -3.320
Ge -2.338 -2.869 -0.876
Mo -0.479 -1.081 -2.175
Nb -4.496 2.152 1.330
```

Output
- ΔH_f (0 K) (eV per atom) = -0.272

***

Number 1: energy -4.407 eV per atom. Number 2: energy -2.412 eV per atom. Number 3: energy -5.768 eV per atom. Number 4: energy -6.791 eV per atom.